{"formula": "PuNp2MnS6", "functional": "PBE", "state": "relaxed", "lattice_angstrom": [[3.396, 1.961, 6.115], [-3.396, 1.961, 6.115], [0.000, -3.922, 6.115]], "species": ["Pu", "Np", "Np", "Mn", "S", "S", "S", "S", "S", "S"], "fractional_positions": [[0.000, 0.000, 0.000], [0.299, 0.299, 0.299], [0.802, 0.802, 0.802], [0.495, 0.495, 0.495], [0.111, 0.694, 0.401], [0.219, 0.598, 0.877], [0.401, 0.111, 0.694], [0.598, 0.877, 0.219], [0.694, 0.401, 0.111], [0.877, 0.219, 0.598]], "formation_energy_uncorrected_mev_per_atom": -1143}


{"formula": "SiTe2H", "functional": "PBE", "state": "relaxed", "lattice_angstrom": [[6.772, 0.000, 0.000], [1.622, 6.824, 0.000], [3.019, 1.718, 6.127]], "species": ["Si", "Si", "Te", "Te", "Te", "Te", "H", "H"], "fractional_positions": [[0.000, 0.000, 0.000], [0.000, 0.017, 0.448], [0.002, 0.259, 0.643], [0.325, 0.010, 0.090], [0.691, 0.135, 0.307], [0.972, 0.627, 0.058], [0.705, 0.687, 0.089], [0.977, 0.810, 0.606]], "de_polymorph_ev_per_fu": 0.00}


{"formula": "SnAuOF2", "functional": "PBE", "state": "relaxed", "lattice_angstrom": [[4.487, 0.000, 0.000], [0.000, 4.487, 0.000], [0.000, 0.000, 4.161]], "species": ["Sn", "Au", "O", "F", "F"], "fractional_positions": [[0.000, 0.000, 0.000], [0.500, 0.500, 0.500], [0.500, 0.500, 0.000], [0.000, 0.500, 0.500], [0.500, 0.000, 0.500]], "formation_energy_uncorrected_mev_per_atom": -668, "de_polymorph_ev_per_fu": 2.05}


{"formula": "LiReAg2", "functional": "PBE", "state": "relaxed", "lattice_angstrom": [[2.678, 0.000, 0.000], [0.000, 2.678, 0.000], [0.000, 0.000, 8.867]], "species": ["Li", "Re", "Ag", "Ag"], "fractional_positions": [[0.000, 0.000, 0.000], [0.500, 0.500, 0.237], [0.000, 0.000, 0.494], [0.500, 0.500, 0.757]], "e_form_kj_per_mol_atoms": 31, "de_polymorph_ev_per_fu": 0.11}


{"formula": "Pr10Y6Ho", "functional": "PBE", "state": "relaxed", "lattice_angstrom": [[9.942, 0.000, 0.000], [-4.971, 8.610, 0.000], [0.000, 0.000, 6.974]], "species": ["Pr", "Pr", "Pr", "Pr", "Pr", "Pr", "Pr", "Pr", "Pr", "Pr", "Y", "Y", "Y", "Y", "Y", "Y", "Ho"], "fractional_positions": [[0.000, 0.275, 0.180], [0.000, 0.725, 0.820], [0.275, 0.000, 0.180], [0.275, 0.275, 0.820], [0.333, 0.667, 0.000], [0.333, 0.667, 0.500], [0.667, 0.333, 0.000], [0.667, 0.333, 0.500], [0.725, 0.000, 0.820], [0.725, 0.725, 0.180], [0.000, 0.366, 0.684], [0.000, 0.634, 0.316], [0.366, 0.000, 0.684], [0.366, 0.366, 0.316], [0.634, 0.000, 0.316], [0.634, 0.634, 0.684], [0.000, 0.000, 0.500]], "e_form_kj_per_mol_atoms": 12}


{"formula": "NdSbIr4", "functional": "PBE", "state": "relaxed", "lattice_angstrom": [[0.000, 3.815, 3.815], [3.815, 0.000, 3.815], [3.815, 3.815, 0.000]], "species": ["Nd", "Sb", "Ir", "Ir", "Ir", "Ir"], "fractional_positions": [[0.000, 0.000, 0.000], [0.250, 0.250, 0.250], [0.127, 0.624, 0.624], [0.624, 0.127, 0.624], [0.624, 0.624, 0.127], [0.624, 0.624, 0.624]], "formation_energy_uncorrected_mev_per_atom": -233}


{"formula": "Sr2AgPt", "functional": "PBE", "state": "relaxed", "lattice_angstrom": [[5.307, 0.000, 0.000], [0.000, 5.307, 0.000], [0.000, 0.000, 3.855]], "species": ["Sr", "Sr", "Ag", "Pt"], "fractional_positions": [[0.000, 0.500, 0.000], [0.500, 0.000, 0.000], [0.000, 0.000, 0.500], [0.500, 0.500, 0.500]], "e_form_kj_per_mol_atoms": -49, "de_polymorph_ev_per_fu": 0.35}


{"formula": "TlReBr2", "functional": "PBE", "state": "relaxed", "lattice_angstrom": [[3.133, 0.000, 0.000], [0.000, 3.262, 0.000], [-0.120, 0.000, 9.976]], "species": ["Tl", "Re", "Br", "Br"], "fractional_positions": [[0.000, 0.000, 0.000], [0.500, 0.000, 0.500], [0.493, 0.500, 0.308], [0.507, 0.500, 0.692]], "formation_energy_uncorrected_mev_per_atom": 470, "de_polymorph_ev_per_fu": 0.61}


{"formula": "Li3Zn9Ag2", "functional": "PBE", "state": "relaxed", "lattice_angstrom": [[-2.137, 5.126, 5.235], [2.137, -5.126, 5.235], [2.137, 5.126, -5.235]], "species": ["Li", "Li", "Li", "Zn", "Zn", "Zn", "Zn", "Zn", "Zn", "Zn", "Zn", "Zn", "Ag", "Ag"], "fractional_positions": [[0.000, 0.000, 0.000], [0.275, 0.275, 0.000], [0.725, 0.725, 0.000], [0.008, 0.629, 0.379], [0.112, 0.849, 0.263], [0.250, 0.629, 0.621], [0.414, 0.151, 0.263], [0.500, 0.000, 0.500], [0.586, 0.849, 0.737], [0.750, 0.371, 0.379], [0.888, 0.151, 0.737], [0.992, 0.371, 0.621], [0.352, 0.500, 0.852], [0.648, 0.500, 0.148]], "e_form_kj_per_mol_atoms": -9}


{"formula": "NaNd3Au4", "functional": "PBE", "state": "relaxed", "lattice_angstrom": [[2.600, 1.501, 8.529], [-2.600, 1.501, 8.529], [0.000, -3.002, 8.529]], "species": ["Na", "Nd", "Nd", "Nd", "Au", "Au", "Au", "Au"], "fractional_positions": [[0.000, 0.000, 0.000], [0.257, 0.257, 0.257], [0.500, 0.500, 0.500], [0.743, 0.743, 0.743], [0.133, 0.133, 0.133], [0.380, 0.380, 0.380], [0.620, 0.620, 0.620], [0.867, 0.867, 0.867]], "e_form_kj_per_mol_atoms": -66}


{"formula": "SiPOs2", "functional": "PBE", "state": "relaxed", "lattice_angstrom": [[1.419, -2.557, 0.000], [1.419, 2.557, 0.000], [0.000, 0.000, 7.842]], "species": ["Si", "P", "Os", "Os"], "fractional_positions": [[0.000, 0.000, 0.000], [0.000, 0.000, 0.500], [0.500, 0.500, 0.254], [0.500, 0.500, 0.746]], "formation_energy_uncorrected_mev_per_atom": 333, "de_polymorph_ev_per_fu": 1.99}


{"formula": "Ho2Rh3Pb", "functional": "PBE", "state": "relaxed", "lattice_angstrom": [[4.786, 0.000, 0.000], [-2.393, 4.145, 0.000], [0.000, 0.000, 11.658]], "species": ["Ho", "Ho", "Ho", "Ho", "Rh", "Rh", "Rh", "Rh", "Rh", "Rh", "Pb", "Pb"], "fractional_positions": [[0.000, 0.000, 0.000], [0.000, 0.000, 0.500], [0.333, 0.667, 0.175], [0.667, 0.333, 0.825], [0.000, 0.000, 0.247], [0.000, 0.000, 0.753], [0.333, 0.667, 0.421], [0.333, 0.667, 0.918], [0.667, 0.333, 0.082], [0.667, 0.333, 0.579], [0.333, 0.667, 0.667], [0.667, 0.333, 0.333]], "e_form_kj_per_mol_atoms": -65}


Q: Which M_tot values were calculated for the entries above? A: 2.8 0.0 0.0 0.0 0.0 0.0 0.0 0.3 0.0 0.0 0.0 0.0, in μB/cell.